DFT (PBE-GGA) results for La6GaTc2Cl3 after structural relaxation.

a = 4.113 Å, b = 9.081 Å, c = 10.310 Å
α = 106.05°, β = 101.51°, γ = 90.00°
Element x y z (fractional)
La: 0.341 0.885 0.682
La: 0.680 0.571 0.359
La: 0.659 0.115 0.318
La: 0.031 0.266 0.062
La: 0.969 0.734 0.938
La: 0.320 0.429 0.641
Ga: 0.500 0.000 0.000
Tc: 0.844 0.661 0.688
Tc: 0.156 0.339 0.312
Cl: 0.500 0.500 0.000
Cl: 0.821 0.154 0.643
Cl: 0.179 0.846 0.357



DFT (PBE-GGA) results for LiGa2Cl after structural relaxation.

Output
The calculation puts the distance to the lowest polymorph of the same formula at 0 meV per atom.

a = 8.615 Å, b = 8.615 Å, c = 6.569 Å
α = 49.02°, β = 49.02°, γ = 90.00°
Element x y z (fractional)
Li: 0.500 0.500 0.000
Li: 0.250 0.750 0.500
Ga: 0.582 0.125 0.250
Ga: 0.168 0.625 0.250
Ga: 0.375 0.418 0.750
Ga: 0.875 0.832 0.750
Cl: 0.000 0.000 0.000
Cl: 0.750 0.250 0.500



DFT (PBE-GGA) results for LiGa2Cl8 after structural relaxation.

Output
The calculation puts the distance to the lowest polymorph of the same formula at 4 meV per atom.

a = 5.986 Å, b = 7.974 Å, c = 7.974 Å
α = 68.70°, β = 80.67°, γ = 80.67°
Element x y z (fractional)
Li: 0.000 0.000 0.000
Ga: 0.646 0.824 0.824
Ga: 0.354 0.176 0.176
Cl: 0.253 0.279 0.895
Cl: 0.747 0.105 0.721
Cl: 0.278 0.827 0.827
Cl: 0.722 0.173 0.173
Cl: 0.253 0.895 0.279
Cl: 0.747 0.721 0.105
Cl: 0.831 0.665 0.665
Cl: 0.169 0.335 0.335



DFT (PBE-GGA) results for LiGa2Cl after structural relaxation.

Output
The calculation puts the distance to the lowest polymorph of the same formula at 235 meV per atom.

a = 5.056 Å, b = 5.056 Å, c = 5.056 Å
α = 60.00°, β = 60.00°, γ = 60.00°
Element x y z (fractional)
Li: 0.000 0.000 0.000
Ga: 0.250 0.250 0.250
Ga: 0.750 0.750 0.750
Cl: 0.500 0.500 0.500



DFT (PBE-GGA) results for Li2GaCl4 after structural relaxation.

Output
The calculation puts the distance to the lowest polymorph of the same formula at 0 meV per atom.

a = 5.679 Å, b = 5.679 Å, c = 6.937 Å
α = 114.16°, β = 114.16°, γ = 90.00°
Element x y z (fractional)
Li: 0.750 0.250 0.500
Li: 0.250 0.750 0.500
Ga: 0.500 0.500 0.000
Cl: 0.879 0.385 0.264
Cl: 0.385 0.879 0.264
Cl: 0.615 0.615 0.736
Cl: 0.121 0.121 0.736



DFT (PBE-GGA) results for Li3GaCl6 after structural relaxation.

a = 6.271 Å, b = 6.781 Å, c = 9.736 Å
α = 90.00°, β = 92.17°, γ = 90.00°
Element x y z (fractional)
Li: 0.484 0.902 0.828
Li: 0.500 0.500 0.000
Li: 0.516 0.098 0.172
Li: 0.984 0.598 0.328
Li: 0.000 0.000 0.500
Li: 0.016 0.402 0.672
Ga: 0.500 0.500 0.500
Ga: 0.000 0.000 0.000
Cl: 0.679 0.185 0.945
Cl: 0.677 0.217 0.584
Cl: 0.635 0.434 0.271
Cl: 0.365 0.566 0.729
Cl: 0.323 0.783 0.416
Cl: 0.321 0.815 0.055
Cl: 0.179 0.315 0.445
Cl: 0.177 0.283 0.084
Cl: 0.135 0.066 0.771
Cl: 0.865 0.934 0.229
Cl: 0.823 0.717 0.916
Cl: 0.821 0.685 0.555



DFT (PBE-GGA) results for Li2GaCl6 after structural relaxation.

a = 6.316 Å, b = 5.851 Å, c = 10.791 Å
α = 90.00°, β = 89.79°, γ = 90.00°
Element x y z (fractional)
Li: 0.992 0.468 0.822
Li: 0.508 0.968 0.678
Li: 0.492 0.032 0.322
Li: 0.008 0.532 0.178
Ga: 0.500 0.500 0.000
Ga: 0.000 0.000 0.500
Cl: 0.844 0.821 0.326
Cl: 0.840 0.727 0.640
Cl: 0.814 0.722 0.982
Cl: 0.686 0.222 0.518
Cl: 0.660 0.227 0.860
Cl: 0.656 0.321 0.174
Cl: 0.156 0.179 0.674
Cl: 0.160 0.273 0.360
Cl: 0.186 0.278 0.018
Cl: 0.314 0.778 0.482
Cl: 0.340 0.773 0.140
Cl: 0.344 0.679 0.826



DFT (PBE-GGA) results for Li2GaCl after structural relaxation.

Output
The calculation puts the distance to the lowest polymorph of the same formula at 0 meV per atom.

a = 6.843 Å, b = 6.843 Å, c = 5.936 Å
α = 54.80°, β = 54.80°, γ = 90.00°
Element x y z (fractional)
Li: 0.572 0.125 0.250
Li: 0.178 0.625 0.250
Li: 0.375 0.428 0.750
Li: 0.875 0.822 0.750
Ga: 0.000 0.000 0.000
Ga: 0.750 0.250 0.500
Cl: 0.500 0.500 0.000
Cl: 0.250 0.750 0.500



For reference, raw formation energy by record: -0.869 -0.252 -1.065 -0.017 -1.320 -1.459 -1.158 -0.661 eV/atom.
For reference, total magnetization by record: 0.0 0.0 1.2 0.0 1.0 0.0 1.0 0.0 μB/f.u..